[1]
A relaxed structure of CuAg2Au, computed with PBE.

Output
* formation enthalpy at 0 K: 0.032 eV/atom
* D(E_F): 1.623 states/eV/f.u.

Unit cell a=3.9311 b=4.0521 c=4.1547 alpha=90.00 beta=90.00 gamma=90.00
Element x y z (fractional)
Cu (0.0000, 0.0000, 0.0000)
Ag (0.0000, 0.5000, 0.5000)
Ag (0.5000, 0.0000, 0.5000)
Au (0.5000, 0.5000, 0.0000)

=====

[2]
A relaxed structure of Cu2AgAu, computed with PBE.

Output
* formation enthalpy at 0 K: 0.023 eV/atom
* D(E_F): 1.139 states/eV/f.u.

Unit cell a=2.8168 b=3.7525 c=5.7008 alpha=90.00 beta=90.00 gamma=90.00
Element x y z (fractional)
Cu (0.0000, 0.0000, 0.2471)
Cu (0.0000, 0.0000, 0.7529)
Ag (0.5000, 0.5000, 0.5000)
Au (0.5000, 0.5000, 0.0000)

=====

[3]
A relaxed structure of CuAgAu2, computed with PBE.

Output
* formation enthalpy at 0 K: 0.023 eV/atom
* D(E_F): 1.144 states/eV/f.u.

Unit cell a=4.5589 b=4.5589 c=4.5589 alpha=60.00 beta=60.00 gamma=60.00
Element x y z (fractional)
Cu (0.0000, 0.0000, 0.0000)
Ag (0.5000, 0.5000, 0.5000)
Au (0.2500, 0.2500, 0.2500)
Au (0.7500, 0.7500, 0.7500)

=====

[4]
A relaxed structure of Cu3AgAu3, computed with PBE.

Output
* formation enthalpy at 0 K: 0.094 eV/atom
* D(E_F): 2.085 states/eV/f.u.

Unit cell a=7.6486 b=7.6486 c=7.6486 alpha=48.94 beta=48.94 gamma=48.94
Element x y z (fractional)
Cu (0.0575, 0.5872, 0.7652)
Cu (0.2348, 0.9425, 0.4128)
Cu (0.4128, 0.2348, 0.9425)
Cu (0.5872, 0.7652, 0.0575)
Cu (0.7652, 0.0575, 0.5872)
Cu (0.9425, 0.4128, 0.2348)
Ag (0.3106, 0.3106, 0.3106)
Ag (0.6894, 0.6894, 0.6894)
Au (0.1297, 0.7775, 0.2892)
Au (0.2225, 0.7108, 0.8703)
Au (0.2892, 0.1297, 0.7775)
Au (0.7108, 0.8703, 0.2225)
Au (0.7775, 0.2892, 0.1297)
Au (0.8703, 0.2225, 0.7108)

=====

[5]
A relaxed structure of CuAg4Au3, computed with PBE.

Output
* formation enthalpy at 0 K: 0.037 eV/atom
* D(E_F): 2.560 states/eV/f.u.

Unit cell a=4.5354 b=4.5354 c=7.6436 alpha=98.45 beta=98.45 gamma=65.44
Element x y z (fractional)
Cu (0.0000, 0.0000, 0.0000)
Ag (0.1238, 0.1238, 0.3676)
Ag (0.3744, 0.3744, 0.1197)
Ag (0.6256, 0.6256, 0.8803)
Ag (0.8762, 0.8762, 0.6324)
Au (0.2455, 0.2455, 0.7538)
Au (0.5000, 0.5000, 0.5000)
Au (0.7545, 0.7545, 0.2462)

=====

[6]
A relaxed structure of Cu2Ag2Au, computed with PBE.

Output
* formation enthalpy at 0 K: 0.078 eV/atom
* D(E_F): 1.555 states/eV/f.u.

Unit cell a=7.3114 b=7.3114 c=7.3114 alpha=143.88 beta=134.78 gamma=59.19
Element x y z (fractional)
Cu (0.1937, 0.1878, 0.0060)
Cu (0.3182, 0.8122, 0.5060)
Cu (0.6818, 0.1878, 0.4940)
Cu (0.8063, 0.8122, 0.9940)
Ag (0.2477, 0.9977, 0.2500)
Ag (0.3759, 0.6259, 0.7500)
Ag (0.6241, 0.3741, 0.2500)
Ag (0.7523, 0.0023, 0.7500)
Au (0.1153, 0.3653, 0.7500)
Au (0.8847, 0.6347, 0.2500)

=====

[7]
A relaxed structure of Cu2Ag3Au2, computed with PBE.

Output
* formation enthalpy at 0 K: -0.002 eV/atom
* D(E_F): 1.941 states/eV/f.u.

Unit cell a=9.8582 b=9.8582 c=2.8541 alpha=90.00 beta=90.00 gamma=155.54
Element x y z (fractional)
Cu (0.2155, 0.7845, 0.0000)
Cu (0.7845, 0.2155, 0.0000)
Ag (0.0759, 0.9241, 0.0000)
Ag (0.5000, 0.5000, 0.5000)
Ag (0.9241, 0.0759, 0.0000)
Au (0.3400, 0.6600, 0.5000)
Au (0.6600, 0.3400, 0.5000)

=====

[8]
A relaxed structure of CuAgAu, computed with PBE.

Output
* formation enthalpy at 0 K: -0.019 eV/atom
* D(E_F): 0.691 states/eV/f.u.

Unit cell a=4.9761 b=4.9761 c=7.5283 alpha=112.12 beta=112.12 gamma=34.20
Element x y z (fractional)
Cu (0.1833, 0.1833, 0.0831)
Cu (0.8167, 0.8167, 0.9169)
Ag (0.1639, 0.1639, 0.5893)
Ag (0.8361, 0.8361, 0.4107)
Au (0.4971, 0.4971, 0.7829)
Au (0.5029, 0.5029, 0.2171)

=====

[9]
A relaxed structure of Cu2Ag5Au4, computed with PBE.

Output
* formation enthalpy at 0 K: -0.003 eV/atom
* D(E_F): 3.454 states/eV/f.u.

Unit cell a=7.2969 b=2.8872 c=9.0952 alpha=90.00 beta=94.52 gamma=90.00
Element x y z (fractional)
Cu (0.0708, 0.0000, 0.1318)
Cu (0.9292, 0.0000, 0.8682)
Ag (0.1684, 0.0000, 0.6477)
Ag (0.4496, 0.0000, 0.1784)
Ag (0.5000, 0.0000, 0.5000)
Ag (0.5504, 0.0000, 0.8216)
Ag (0.8316, 0.0000, 0.3523)
Au (0.1895, 0.5000, 0.3682)
Au (0.2429, 0.5000, 0.9296)
Au (0.7571, 0.5000, 0.0704)
Au (0.8105, 0.5000, 0.6318)

=====

[10]
A relaxed structure of CuAgAu2, computed with PBE.

Output
* formation enthalpy at 0 K: 0.011 eV/atom
* D(E_F): 1.749 states/eV/f.u.

Unit cell a=2.8746 b=3.8926 c=5.9781 alpha=90.00 beta=90.00 gamma=90.00
Element x y z (fractional)
Cu (0.0000, 0.0000, 0.0000)
Ag (0.5000, 0.5000, 0.2430)
Au (0.0000, 0.0000, 0.5021)
Au (0.5000, 0.5000, 0.7762)

=====

[11]
A relaxed structure of Cu2Ag2Au, computed with PBE.

Output
* formation enthalpy at 0 K: 0.315 eV/atom
* D(E_F): 1.331 states/eV/f.u.

Unit cell a=6.5570 b=6.5570 c=6.5570 alpha=146.42 beta=146.42 gamma=48.22
Element x y z (fractional)
Cu (0.0957, 0.0957, 0.0000)
Cu (0.9043, 0.9043, 0.0000)
Ag (0.2500, 0.7500, 0.5000)
Ag (0.7500, 0.2500, 0.5000)
Au (0.5000, 0.5000, 0.0000)

=====

[12]
A relaxed structure of CuAgAu2, computed with PBE.

Output
* formation enthalpy at 0 K: -0.010 eV/atom
* D(E_F): 1.066 states/eV/f.u.

Unit cell a=4.9588 b=4.9588 c=4.9588 alpha=131.94 beta=131.56 gamma=70.63
Element x y z (fractional)
Cu (0.0000, 0.0000, 0.0000)
Ag (0.5000, 0.5000, 0.0000)
Au (0.2490, 0.7490, 0.5000)
Au (0.7510, 0.2510, 0.5000)

=====

What is the D(E_F) in the fourth record? 2.085 states/eV/f.u.